LiLa2MgIr | GGA-PBE | optimized geometry

Output
Total magnetization: 0.000 Bohr magnetons per cell
Formation enthalpy at 0 K: -0.23 eV per atom
Crystal system: tetragonal
Space-group type: P4/mmm

a = 5.5298 Å, b = 5.5298 Å, c = 5.0745 Å
α = 90.00°, β = 90.00°, γ = 90.00°
With the nearest neighbours (Å) after each atom.
Positions (direct):
La 0.5000 0.0000 0.0000  2 Ir 2.76
Ir 0.0000 0.0000 0.0000  2 Li 2.54, 4 La 2.76
Li 0.0000 0.0000 0.5000  2 Ir 2.54
La 0.0000 0.5000 0.0000  2 Ir 2.76
Mg 0.5000 0.5000 0.5000  8 La 3.75, 4 Li 3.91